(1)
# BiP2I meta-GGA SCAN single point on PBEsol structure
data_BiP2I
_chemical_formula_sum 'Bi4 P8 I4'
_cell_length_a 7.0624
_cell_length_b 7.0624
_cell_length_c 7.0624
_cell_angle_alpha 90.00
_cell_angle_beta 90.00
_cell_angle_gamma 90.00
_symmetry_space_group_name_H-M 'F m -3 m'
_symmetry_Int_Tables_number 225
_symmetry_space_group_name_Hall '-F 4 2 3'
loop_
_atom_site_label
_atom_site_fract_x
_atom_site_fract_y
_atom_site_fract_z
_atom_site_occupancy
Bi1 0.0000 0.0000 0.0000 1
P1 0.2500 0.2500 0.2500 1
I1 0.0000 0.0000 0.5000 1
# * E_form (uncorrected): 950 meV per atom
# * crystal system: cubic

(2)
# Er4Ga21Ni10 meta-GGA SCAN single point on PBEsol structure
data_Er4Ga21Ni10
_chemical_formula_sum 'Er8 Ga42 Ni20'
_cell_length_a 20.5308
_cell_length_b 4.0122
_cell_length_c 15.2018
_cell_angle_alpha 90.00
_cell_angle_beta 124.75
_cell_angle_gamma 90.00
_symmetry_space_group_name_H-M 'C 1 2/m 1'
_symmetry_Int_Tables_number 12
_symmetry_space_group_name_Hall '-C 2y'
loop_
_atom_site_label
_atom_site_fract_x
_atom_site_fract_y
_atom_site_fract_z
_atom_site_occupancy
Er1 0.1204 0.0000 0.3332 1
Er2 0.2295 0.0000 0.8241 1
Ga1 0.0000 0.5000 0.5000 1
Ga2 0.0068 0.0000 0.0913 1
Ga3 0.0405 0.5000 0.3683 1
Ga4 0.0651 0.0000 0.7958 1
Ga5 0.1015 0.5000 0.9980 1
Ga6 0.1145 0.5000 0.7039 1
Ga7 0.1173 0.0000 0.5529 1
Ga8 0.1269 0.5000 0.1951 1
Ga9 0.2010 0.0000 0.0031 1
Ga10 0.2023 0.5000 0.5028 1
Ga11 0.2484 0.0000 0.2938 1
Ni1 0.0024 0.5000 0.1857 1
Ni2 0.0241 0.0000 0.6065 1
Ni3 0.1335 0.0000 0.1044 1
Ni4 0.1527 0.5000 0.8881 1
Ni5 0.2495 0.5000 0.3848 1
# * E_form: -0.577 eV per atom
# * crystal system: monoclinic

(3)
# SmFe2SiC meta-GGA SCAN single point on PBEsol structure
data_SmFe2SiC
_chemical_formula_sum 'Sm4 Fe8 Si4 C4'
_cell_length_a 3.8054
_cell_length_b 10.3536
_cell_length_c 6.6630
_cell_angle_alpha 90.00
_cell_angle_beta 90.00
_cell_angle_gamma 90.00
_symmetry_space_group_name_H-M 'C m c m'
_symmetry_Int_Tables_number 63
_symmetry_space_group_name_Hall '-C 2c 2'
loop_
_atom_site_label
_atom_site_fract_x
_atom_site_fract_y
_atom_site_fract_z
_atom_site_occupancy
Sm1 0.0000 0.0534 0.2500 1
Fe1 0.0000 0.3346 0.0646 1
Si1 0.0000 0.2281 0.7500 1
C1 0.0000 0.5000 0.0000 1
# * E_form (uncorrected): -401 meV per atom
# * crystal system: orthorhombic

(4)
# ZrZnSb2 meta-GGA SCAN single point on PBEsol structure
data_ZrZnSb2
_chemical_formula_sum 'Zr1 Zn1 Sb2'
_cell_length_a 4.7225
_cell_length_b 4.7225
_cell_length_c 3.7713
_cell_angle_alpha 90.00
_cell_angle_beta 90.00
_cell_angle_gamma 90.00
_symmetry_space_group_name_H-M 'P 4/m m m'
_symmetry_Int_Tables_number 123
_symmetry_space_group_name_Hall '-P 4 2'
loop_
_atom_site_label
_atom_site_fract_x
_atom_site_fract_y
_atom_site_fract_z
_atom_site_occupancy
Zr1 0.0000 0.0000 0.0000 1
Zn1 0.5000 0.5000 0.0000 1
Sb1 0.0000 0.5000 0.5000 1
# * E_form (uncorrected): -168 meV per atom
# * crystal system: tetragonal

no.,M_tot (μB/cell)
1,0.00
2,0.00
3,6.37
4,0.00